A relaxed LiCa2ZnF crystal. Source: the Alexandria database, functional PBE.

Cell: 5.092 5.092 4.005 Å, 90.00 90.00 90.00°
Sites, in units of the cell vectors:
Zn (0.500, 0.500, 0.500)
Li (0.000, 0.000, 0.500)
Ca (0.000, 0.500, 0.000)
Ca (0.500, 0.000, 0.000)
F (0.000, 0.000, 0.000)

ΔE_f (raw): -1.189 eV/atom

A relaxed BeNi2Ru crystal. Source: the Alexandria database, functional PBE.

Cell: 2.635 2.635 6.230 Å, 90.00 90.00 90.00°
Sites, in units of the cell vectors:
Ru (0.000, 0.000, 0.523)
Be (0.500, 0.500, 0.771)
Ni (0.000, 0.000, 0.967)
Ni (0.500, 0.500, 0.240)

Energy of formation from the pure elements: -0.11 eV per atom

A relaxed LuHfRu2 crystal. Source: the Alexandria database, functional PBE.

Cell: 4.638 4.638 4.638 Å, 60.00 60.00 60.00°
Sites, in units of the cell vectors:
Ru (0.250, 0.250, 0.250)
Ru (0.750, 0.750, 0.750)
Lu (0.000, 0.000, 0.000)
Hf (0.500, 0.500, 0.500)

Energy of formation from the pure elements: -0.67 eV per atom
Energy above the lowest structure with this stoichiometry: 19.0 meV per atom

A relaxed CePuC crystal. Source: the Alexandria database, functional PBE.

Cell: 5.331 5.331 5.331 Å, 66.66 73.18 108.33°
Each line ends with the local moment (μB).
Sites, in units of the cell vectors:
Ce (0.750, 0.796, 0.454)  0.43
Ce (0.250, 0.204, 0.546)  0.43
Pu (0.500, 0.000, 0.000)  5.05
Pu (0.000, 0.500, 0.000)  5.05
C (0.000, 0.500, 0.500)  -0.11
C (0.500, 0.500, 0.000)  -0.11

Energy of formation from the pure elements: 0.28 eV per atom
Energy above the lowest structure with this stoichiometry: 351.7 meV per atom

A relaxed YInAg2 crystal. Source: the Alexandria database, functional PBE.

Cell: 4.980 4.980 4.980 Å, 120.18 120.18 89.69°
Sites, in units of the cell vectors:
Ag (0.000, 0.000, 0.000)
Ag (0.250, 0.750, 0.500)
In (0.500, 0.500, 0.000)
Y (0.750, 0.250, 0.500)

Energy of formation from the pure elements: -0.27 eV per atom

A relaxed TiAl2TcH crystal. Source: the Alexandria database, functional PBE.

Cell: 3.970 3.970 3.933 Å, 90.00 90.00 90.00°
Each line ends with the local moment (μB).
Sites, in units of the cell vectors:
H (0.000, 0.000, 0.000)  0.00
Al (0.000, 0.500, 0.000)  0.00
Al (0.500, 0.000, 0.000)  0.00
Tc (0.500, 0.500, 0.500)  0.16
Ti (0.000, 0.000, 0.500)  -0.02

A relaxed Fe2HAu crystal. Source: the Alexandria database, functional PBE.

Cell: 5.108 5.108 5.129 Å, 60.14 60.14 90.00°
Each line ends with the local moment (μB).
Sites, in units of the cell vectors:
H (0.500, 0.500, 0.000)  -0.02
H (0.250, 0.750, 0.500)  -0.02
Au (0.000, 0.000, 0.000)  0.09
Au (0.750, 0.250, 0.500)  0.09
Fe (0.375, 0.125, 0.250)  2.73
Fe (0.375, 0.625, 0.250)  2.63
Fe (0.375, 0.625, 0.750)  2.65
Fe (0.875, 0.625, 0.750)  2.54

Energy above the lowest structure with this stoichiometry: 98.0 meV per atom

A relaxed Sm2ReN6 crystal. Source: the Alexandria database, functional PBE.

Cell: 5.272 5.272 10.349 Å, 90.00 90.00 90.00°
Each line ends with the local moment (μB).
Sites, in units of the cell vectors:
Sm (0.000, 0.000, 0.324)  0.02
Sm (0.500, 0.500, 0.824)  0.02
Sm (0.500, 0.500, 0.176)  0.02
Sm (0.000, 0.000, 0.676)  0.02
Re (0.000, 0.000, 0.000)  -0.40
Re (0.500, 0.500, 0.500)  -0.40
N (0.316, 0.316, 0.364)  0.55
N (0.684, 0.684, 0.364)  0.55
N (0.184, 0.816, 0.864)  0.55
N (0.816, 0.184, 0.864)  0.55
N (0.184, 0.816, 0.136)  0.55
N (0.816, 0.184, 0.136)  0.55
N (0.316, 0.316, 0.636)  0.55
N (0.684, 0.684, 0.636)  0.55
N (0.268, 0.268, 0.000)  0.79
N (0.732, 0.732, 0.000)  0.79
N (0.232, 0.768, 0.500)  0.79
N (0.768, 0.232, 0.500)  0.79

ΔE_f (raw): 0.301 eV/atom

The records above yield DFT total energy values of -15.0 -25.0 -35.7 -57.3 -16.0 -30.2 -45.2 -138.3 eV/cell, respectively.